[1]
# U3P4S16 (GGA-PBEsol, optimized geometry)
data_U3P4S16
_chemical_formula_sum 'U12 P16 S64'
_symmetry_space_group_name_H-M 'I -4 c 2'
_symmetry_Int_Tables_number 120
_symmetry_space_group_name_Hall 'I -4 -2c'
_cell_length_a 10.597
_cell_length_b 10.597
_cell_length_c 18.530
_cell_angle_alpha 90.00
_cell_angle_beta 90.00
_cell_angle_gamma 90.00
loop_
_atom_site_label
_atom_site_fract_x
_atom_site_fract_y
_atom_site_fract_z
_atom_site_occupancy
U1 0.000 0.000 0.000 1
U2 0.000 0.000 0.250 1
U3 0.000 0.500 0.000 1
P1 0.037 0.249 0.374 1
S1 0.063 0.246 0.781 1
S2 0.078 0.244 0.964 1
S3 0.082 0.139 0.126 1
S4 0.095 0.356 0.608 1
# Magnetization   6.0 μB per formula unit
# ΔE_f (raw)   -0.624 eV per atom
# Total DFT energy (no corrections)   -6.267 eV/atom

---

[2]
# V3P4S12 (GGA-PBEsol, optimized geometry)
data_V3P4S12
_chemical_formula_sum 'V6 P8 S24'
_symmetry_space_group_name_H-M 'C 1 2 1'
_symmetry_Int_Tables_number 5
_cell_length_a 5.791
_cell_length_b 10.087
_cell_length_c 12.721
_cell_angle_alpha 90.00
_cell_angle_beta 98.88
_cell_angle_gamma 90.00
loop_
_symmetry_equiv_pos_as_xyz
'x,y,z'
'-x,y,-z'
'x+1/2,y+1/2,z'
'-x+1/2,y+1/2,-z'
loop_
_atom_site_label
_atom_site_fract_x
_atom_site_fract_y
_atom_site_fract_z
_atom_site_occupancy
V1 0.000 0.000 0.000 1
V2 0.000 0.161 0.500 1
V3 0.000 0.497 0.500 1
P1 0.029 0.829 0.587 1
P2 0.031 0.324 0.086 1
S1 0.106 0.147 0.875 1
S2 0.112 0.329 0.378 1
S3 0.119 0.838 0.875 1
S4 0.131 0.002 0.377 1
S5 0.131 0.657 0.377 1
S6 0.153 0.484 0.875 1
# Magnetization   1.2 μB per formula unit
# ΔE_f (raw)   -0.487 eV per atom
# Total DFT energy (no corrections)   -5.997 eV/atom

---

[3]
# P2WS2 (GGA-PBEsol, optimized geometry)
data_P2WS2
_chemical_formula_sum 'P2 W1 S2'
_symmetry_space_group_name_H-M 'P 4/m m m'
_symmetry_Int_Tables_number 123
_symmetry_space_group_name_Hall '-P 4 2'
_cell_length_a 4.233
_cell_length_b 4.233
_cell_length_c 4.329
_cell_angle_alpha 90.00
_cell_angle_beta 90.00
_cell_angle_gamma 90.00
loop_
_atom_site_label
_atom_site_fract_x
_atom_site_fract_y
_atom_site_fract_z
_atom_site_occupancy
P1 0.000 0.500 0.000 1
W1 0.000 0.000 0.500 1
S1 0.500 0.500 0.000 1
S2 0.500 0.500 0.500 1
# Magnetization   1.2 μB per formula unit
# ΔE_f (raw)   1.178 eV per atom
# Distance to the lowest polymorph of the same formula   580 meV/atom
# Total DFT energy (no corrections)   -5.653 eV/atom

---

[4]
# P2WS2 (GGA-PBEsol, optimized geometry)
data_P2WS2
_chemical_formula_sum 'P2 W1 S2'
_symmetry_space_group_name_H-M 'P 4/m m m'
_symmetry_Int_Tables_number 123
_symmetry_space_group_name_Hall '-P 4 2'
_cell_length_a 4.715
_cell_length_b 4.715
_cell_length_c 4.432
_cell_angle_alpha 90.00
_cell_angle_beta 90.00
_cell_angle_gamma 90.00
loop_
_atom_site_label
_atom_site_fract_x
_atom_site_fract_y
_atom_site_fract_z
_atom_site_occupancy
P1 0.000 0.500 0.000 1
W1 0.000 0.000 0.000 1
S1 0.000 0.000 0.500 1
S2 0.500 0.500 0.500 1
# Magnetization   0.0 μB per formula unit
# ΔE_f (raw)   0.598 eV per atom
# Distance to the lowest polymorph of the same formula   0 meV/atom
# Total DFT energy (no corrections)   -6.234 eV/atom

---

[5]
# YP2WS (GGA-PBEsol, optimized geometry)
data_YP2WS
_chemical_formula_sum 'Y1 P2 W1 S1'
_symmetry_space_group_name_H-M 'P 4/m m m'
_symmetry_Int_Tables_number 123
_symmetry_space_group_name_Hall '-P 4 2'
_cell_length_a 5.044
_cell_length_b 5.044
_cell_length_c 4.955
_cell_angle_alpha 90.00
_cell_angle_beta 90.00
_cell_angle_gamma 90.00
loop_
_atom_site_label
_atom_site_fract_x
_atom_site_fract_y
_atom_site_fract_z
_atom_site_occupancy
Y1 0.000 0.000 0.000 1
P1 0.000 0.500 0.000 1
W1 0.500 0.500 0.500 1
S1 0.000 0.000 0.500 1
# Magnetization   2.8 μB per formula unit
# ΔE_f (raw)   1.430 eV per atom
# Total DFT energy (no corrections)   -5.889 eV/atom

---

[6]
# YPS (GGA-PBEsol, optimized geometry)
data_YPS
_chemical_formula_sum 'Y4 P4 S4'
_symmetry_space_group_name_H-M 'P n m a'
_symmetry_Int_Tables_number 62
_cell_length_a 6.891
_cell_length_b 3.616
_cell_length_c 9.086
_cell_angle_alpha 90.00
_cell_angle_beta 90.00
_cell_angle_gamma 90.00
loop_
_symmetry_equiv_pos_as_xyz
'x,y,z'
'-x,-y,-z'
'-x+1/2,-y,z+1/2'
'x+1/2,y,-z+1/2'
'x+1/2,-y+1/2,-z+1/2'
'-x+1/2,y+1/2,z+1/2'
'-x,y+1/2,-z'
'x,-y+1/2,z'
loop_
_atom_site_label
_atom_site_fract_x
_atom_site_fract_y
_atom_site_fract_z
_atom_site_occupancy
Y1 0.207 0.250 0.160 1
P1 0.091 0.250 0.462 1
S1 0.094 0.250 0.846 1
# Magnetization   0.0 μB per formula unit
# ΔE_f (raw)   -1.602 eV per atom
# Total DFT energy (no corrections)   -7.268 eV/atom

---

[7]
# YPS4 (GGA-PBEsol, optimized geometry)
data_YPS4
_chemical_formula_sum 'Y16 P16 S64'
_symmetry_space_group_name_H-M 'I 41/a c d'
_symmetry_Int_Tables_number 142
_cell_length_a 10.583
_cell_length_b 10.583
_cell_length_c 18.813
_cell_angle_alpha 90.00
_cell_angle_beta 90.00
_cell_angle_gamma 90.00
loop_
_symmetry_equiv_pos_as_xyz
'x,y,z'
'-x,-y,-z'
'-y+1/4,x+3/4,z+1/4'
'y+1/4,-x+3/4,-z+1/4'
'-x+1/2,-y,z+1/2'
'x+1/2,y,-z+1/2'
'y+1/4,-x+1/4,z+3/4'
'-y+1/4,x+1/4,-z+3/4'
'x,-y,-z+1/2'
'-x,y,z+1/2'
'-y+1/4,-x+1/4,-z+1/4'
'y+1/4,x+1/4,z+1/4'
'-x+1/2,y,-z'
'x+1/2,-y,z'
'y+1/4,x+3/4,-z+3/4'
'-y+1/4,-x+3/4,z+3/4'
'x+1/2,y+1/2,z+1/2'
'-x+1/2,-y+1/2,-z+1/2'
'-y+3/4,x+1/4,z+3/4'
'y+3/4,-x+1/4,-z+3/4'
'-x,-y+1/2,z'
'x,y+1/2,-z'
'y+3/4,-x+3/4,z+1/4'
'-y+3/4,x+3/4,-z+1/4'
'x+1/2,-y+1/2,-z'
'-x+1/2,y+1/2,z'
'-y+3/4,-x+3/4,-z+3/4'
'y+3/4,x+3/4,z+3/4'
'-x,y+1/2,-z+1/2'
'x,-y+1/2,z+1/2'
'y+3/4,x+1/4,-z+1/4'
'-y+3/4,-x+1/4,z+1/4'
loop_
_atom_site_label
_atom_site_fract_x
_atom_site_fract_y
_atom_site_fract_z
_atom_site_occupancy
Y1 0.000 0.250 0.125 1
Y2 0.000 0.250 0.375 1
P1 0.039 0.000 0.250 1
S1 0.067 0.003 0.840 1
S2 0.085 0.111 0.003 1
# Magnetization   0.0 μB per formula unit
# ΔE_f (raw)   -1.076 eV per atom
# Total DFT energy (no corrections)   -6.101 eV/atom

---

[8]
# Zn2P3S9 (GGA-PBEsol, optimized geometry)
data_Zn2P3S9
_chemical_formula_sum 'Zn8 P12 S36'
_symmetry_space_group_name_H-M 'C 1 2/m 1'
_symmetry_Int_Tables_number 12
_cell_length_a 18.203
_cell_length_b 10.546
_cell_length_c 6.601
_cell_angle_alpha 90.00
_cell_angle_beta 95.48
_cell_angle_gamma 90.00
loop_
_symmetry_equiv_pos_as_xyz
'x,y,z'
'-x,-y,-z'
'-x,y,-z'
'x,-y,z'
'x+1/2,y+1/2,z'
'-x+1/2,-y+1/2,-z'
'-x+1/2,y+1/2,-z'
'x+1/2,-y+1/2,z'
loop_
_atom_site_label
_atom_site_fract_x
_atom_site_fract_y
_atom_site_fract_z
_atom_site_occupancy
Zn1 0.125 0.173 0.172 1
P1 0.024 0.000 0.851 1
P2 0.126 0.500 0.204 1
P3 0.221 0.500 0.879 1
S1 0.072 0.000 0.342 1
S2 0.081 0.163 0.831 1
S3 0.084 0.349 0.337 1
S4 0.105 0.500 0.881 1
S5 0.242 0.500 0.203 1
S6 0.249 0.337 0.751 1
# Magnetization   0.0 μB per formula unit
# ΔE_f (raw)   -0.359 eV per atom
# Total DFT energy (no corrections)   -4.644 eV/atom

---

[9]
# ZnPS3 (GGA-PBEsol, optimized geometry)
data_ZnPS3
_chemical_formula_sum 'Zn4 P4 S12'
_symmetry_space_group_name_H-M 'C 1 2/m 1'
_symmetry_Int_Tables_number 12
_cell_length_a 5.905
_cell_length_b 10.231
_cell_length_c 6.846
_cell_angle_alpha 90.00
_cell_angle_beta 106.50
_cell_angle_gamma 90.00
loop_
_symmetry_equiv_pos_as_xyz
'x,y,z'
'-x,-y,-z'
'-x,y,-z'
'x,-y,z'
'x+1/2,y+1/2,z'
'-x+1/2,-y+1/2,-z'
'-x+1/2,y+1/2,-z'
'x+1/2,-y+1/2,z'
loop_
_atom_site_label
_atom_site_fract_x
_atom_site_fract_y
_atom_site_fract_z
_atom_site_occupancy
Zn1 0.000 0.167 0.000 1
P1 0.056 0.500 0.167 1
S1 0.247 0.000 0.243 1
S2 0.248 0.333 0.243 1
# Magnetization   0.0 μB per formula unit
# ΔE_f (raw)   -0.430 eV per atom
# Total DFT energy (no corrections)   -4.535 eV/atom

---

Look up the total DFT energy (no corrections) of the third one.
-5.653 eV/atom

---

Which of these has the highest ΔE_f (raw)?
YP2WS

---

Among the records above, which one has the highest total DFT energy (no corrections)?
ZnPS3